(1)
The following is a DFT calculation (GGA-PBE) of Ni2Se3S after structural relaxation.

Formation energy without anion corrections   -1.5 eV/f.u.
DOS at the Fermi energy   0.51 states/eV/atom
Space-group type   C2/m (12)

Cell lengths 3.548, 6.092, 10.563 Å; angles 90.92, 80.33, 73.07 degrees
Sites, in units of the cell vectors:
1 Ni 0.248 0.632 0.872
2 Ni 0.752 0.368 0.128
3 Ni 0.746 0.878 0.629
4 Ni 0.254 0.122 0.371
5 Se 0.117 0.992 0.775
6 Se 0.883 0.008 0.225
7 Se 0.374 0.275 0.976
8 Se 0.626 0.725 0.024
9 Se 0.627 0.227 0.518
10 Se 0.373 0.773 0.482
11 S 0.856 0.552 0.736
12 S 0.144 0.448 0.264

***

(2)
The following is a DFT calculation (GGA-PBE) of Sm8NiSe3S4 after structural relaxation.

Formation energy without anion corrections   -27.7 eV/f.u.
DOS at the Fermi energy   0.38 states/eV/atom
Space-group type   R-3m (166)

Cell lengths 8.179, 8.158, 8.179 Å; angles 120.09, 120.00, 90.00 degrees
Sites, in units of the cell vectors:
1 Sm 0.244 0.753 0.009
2 Sm 0.244 0.753 0.488
3 Sm 0.244 0.232 0.488
4 Sm 0.765 0.753 0.009
5 Sm 0.235 0.247 0.991
6 Sm 0.756 0.768 0.512
7 Sm 0.756 0.247 0.512
8 Sm 0.756 0.247 0.991
9 Ni 0.000 0.500 0.000
10 Se 0.500 0.500 0.000
11 Se 0.500 0.500 0.500
12 Se 0.000 0.500 0.500
13 S 0.500 0.000 0.000
14 S 0.500 0.000 0.500
15 S 0.000 0.000 0.000
16 S 0.000 0.000 0.500

***

(3)
The following is a DFT calculation (GGA-PBE) of Sm4NiSe2S after structural relaxation.

Formation energy without anion corrections   -11.9 eV/f.u.
DOS at the Fermi energy   0.59 states/eV/atom
Space-group type   P2/m (10)

Cell lengths 4.021, 7.159, 7.225 Å; angles 109.12, 90.00, 90.00 degrees
Sites, in units of the cell vectors:
1 Sm 0.500 0.246 0.236
2 Sm 0.500 0.754 0.764
3 Sm 0.000 0.266 0.773
4 Sm 0.000 0.734 0.227
5 Ni 0.500 0.500 0.000
6 Se 0.500 0.000 0.500
7 Se 0.000 0.500 0.500
8 S 0.000 0.000 0.000

***

(4)
The following is a DFT calculation (GGA-PBE) of SrNiSeS2 after structural relaxation.

Formation energy without anion corrections   -2.1 eV/f.u.
DOS at the Fermi energy   1.02 states/eV/atom
Space-group type   P4/mmm (123)

Cell lengths 4.340, 6.446, 4.340 Å; angles 90.00, 90.00, 90.00 degrees
Each line ends with the local moment (μB).
Sites, in units of the cell vectors:
1 Sr 0.000 0.500 0.000  0.00
2 S 0.000 0.000 0.500  0.14
3 S 0.500 0.000 0.000  0.32
4 Se 0.500 0.500 0.500  0.20
5 Ni 0.000 0.000 0.000  0.33

***

(5)
The following is a DFT calculation (GGA-PBE) of TaNiSeS2 after structural relaxation.

Formation energy without anion corrections   3.1 eV/f.u.
DOS at the Fermi energy   1.26 states/eV/atom
Space-group type   P4/mmm (123)

Cell lengths 4.179, 5.258, 4.179 Å; angles 90.00, 90.00, 90.00 degrees
Sites, in units of the cell vectors:
1 Ni 0.000 0.000 0.000
2 S 0.000 0.000 0.500
3 S 0.500 0.000 0.000
4 Se 0.500 0.500 0.500
5 Ta 0.000 0.500 0.000

***

(6)
The following is a DFT calculation (GGA-PBE) of Ta2NiSeS after structural relaxation.

Formation energy without anion corrections   1.3 eV/f.u.
DOS at the Fermi energy   0.93 states/eV/atom
Space-group type   P4/mmm (123)

Cell lengths 4.698, 3.929, 4.698 Å; angles 90.00, 90.00, 90.00 degrees
Sites, in units of the cell vectors:
1 Ni 0.000 0.500 0.000
2 S 0.000 0.000 0.000
3 Se 0.500 0.500 0.500
4 Ta 0.000 0.000 0.500
5 Ta 0.500 0.000 0.000

***

(7)
The following is a DFT calculation (GGA-PBE) of Tb8NiSe3S4 after structural relaxation.

Formation energy without anion corrections   -27.5 eV/f.u.
DOS at the Fermi energy   0.35 states/eV/atom
Space-group type   R-3m (166)

Cell lengths 8.027, 8.003, 8.027 Å; angles 120.10, 120.00, 90.00 degrees
Sites, in units of the cell vectors:
1 Tb 0.242 0.751 0.009
2 Tb 0.242 0.751 0.484
3 Tb 0.244 0.231 0.487
4 Tb 0.767 0.751 0.009
5 Tb 0.233 0.249 0.991
6 Tb 0.756 0.769 0.513
7 Tb 0.758 0.249 0.516
8 Tb 0.758 0.249 0.991
9 Ni 0.000 0.500 0.000
10 Se 0.500 0.500 0.000
11 Se 0.500 0.500 0.500
12 Se 0.000 0.500 0.500
13 S 0.500 0.000 0.000
14 S 0.500 0.000 0.500
15 S 0.000 0.000 0.000
16 S 0.000 0.000 0.500

***

(8)
The following is a DFT calculation (GGA-PBE) of NiTe2SeS after structural relaxation.

Formation energy without anion corrections   2.5 eV/f.u.
DOS at the Fermi energy   1.22 states/eV/atom
Space-group type   P4/mmm (123)

Cell lengths 5.131, 4.448, 5.131 Å; angles 90.00, 90.00, 90.00 degrees
Sites, in units of the cell vectors:
1 Ni 0.000 0.000 0.000
2 S 0.500 0.500 0.500
3 Te 0.000 0.000 0.500
4 Te 0.500 0.000 0.000
5 Se 0.000 0.500 0.000

***

(9)
The following is a DFT calculation (GGA-PBE) of Th4NiSeS2 after structural relaxation.

Formation energy without anion corrections   -11.0 eV/f.u.
DOS at the Fermi energy   0.76 states/eV/atom
Space-group type   P2/m (10)

Cell lengths 4.042, 7.094, 7.264 Å; angles 70.84, 90.00, 90.00 degrees
Sites, in units of the cell vectors:
1 Th 0.000 0.760 0.737
2 Th 0.000 0.240 0.263
3 Th 0.500 0.742 0.268
4 Th 0.500 0.258 0.732
5 Ni 0.000 0.500 0.500
6 Se 0.500 0.500 0.000
7 S 0.000 0.000 0.000
8 S 0.500 0.000 0.500

***

(10)
The following is a DFT calculation (GGA-PBE) of TlNi2SeS after structural relaxation.

Formation energy without anion corrections   -1.2 eV/f.u.
DOS at the Fermi energy   0.74 states/eV/atom
Space-group type   P2_1/m (11)

Cell lengths 3.418, 6.971, 7.954 Å; angles 82.48, 90.00, 90.00 degrees
Sites, in units of the cell vectors:
1 Tl 0.750 0.230 0.026
2 Tl 0.250 0.770 0.974
3 Ni 0.250 0.079 0.385
4 Ni 0.250 0.696 0.482
5 Ni 0.750 0.304 0.518
6 Ni 0.750 0.921 0.615
7 Se 0.750 0.574 0.685
8 Se 0.250 0.426 0.315
9 S 0.750 0.879 0.330
10 S 0.250 0.121 0.670

***

(11)
The following is a DFT calculation (GGA-PBE) of Tm6Ni2Se3S after structural relaxation.

Formation energy without anion corrections   -15.6 eV/f.u.
DOS at the Fermi energy   0.46 states/eV/atom
Space-group type   C2/m (12)

Cell lengths 6.757, 6.757, 7.134 Å; angles 99.05, 99.05, 120.16 degrees
Sites, in units of the cell vectors:
1 Tm 0.924 0.579 0.775
2 Tm 0.730 0.730 0.226
3 Tm 0.076 0.421 0.225
4 Tm 0.579 0.924 0.775
5 Tm 0.270 0.270 0.774
6 Tm 0.421 0.076 0.225
7 Ni 0.332 0.668 0.000
8 Ni 0.668 0.332 0.000
9 Se 0.161 0.839 0.500
10 Se 0.839 0.161 0.500
11 Se 0.500 0.500 0.500
12 S 0.000 0.000 0.000

***

(12)
The following is a DFT calculation (GGA-PBE) of VNiSeS2 after structural relaxation.

Formation energy without anion corrections   2.7 eV/f.u.
DOS at the Fermi energy   1.47 states/eV/atom
Space-group type   P4/mmm (123)

Cell lengths 4.357, 4.696, 4.357 Å; angles 90.00, 90.00, 90.00 degrees
Sites, in units of the cell vectors:
1 Ni 0.000 0.000 0.000
2 S 0.000 0.000 0.500
3 S 0.500 0.000 0.000
4 Se 0.000 0.500 0.000
5 V 0.500 0.500 0.500

***

(13)
The following is a DFT calculation (GGA-PBE) of VNiSeS after structural relaxation.

Formation energy without anion corrections   -1.9 eV/f.u.
DOS at the Fermi energy   0.94 states/eV/atom
Space-group type   R3m (160)

Cell lengths 3.739, 3.739, 6.472 Å; angles 89.99, 106.80, 119.99 degrees
Each line ends with the local moment (μB).
Sites, in units of the cell vectors:
1 V 0.426 0.597 0.023  1.69
2 Ni 0.496 0.132 0.629  -0.27
3 Se 0.223 0.995 0.218  -0.09
4 S 0.184 0.476 0.661  -0.08

***

(14)
The following is a DFT calculation (GGA-PBE) of Y8NiSe4S3 after structural relaxation.

Formation energy without anion corrections   -27.3 eV/f.u.
DOS at the Fermi energy   0.36 states/eV/atom
Space-group type   R-3m (166)

Cell lengths 8.004, 8.092, 8.004 Å; angles 119.64, 120.00, 90.00 degrees
Sites, in units of the cell vectors:
1 Y 0.237 0.727 0.991
2 Y 0.237 0.727 0.474
3 Y 0.257 0.270 0.513
4 Y 0.754 0.727 0.991
5 Y 0.246 0.273 0.009
6 Y 0.743 0.730 0.487
7 Y 0.763 0.273 0.526
8 Y 0.763 0.273 0.009
9 Ni 0.000 0.500 0.000
10 Se 0.500 0.000 0.000
11 Se 0.500 0.000 0.500
12 Se 0.000 0.000 0.000
13 Se 0.000 0.000 0.500
14 S 0.500 0.500 0.000
15 S 0.500 0.500 0.500
16 S 0.000 0.500 0.500

***

(15)
The following is a DFT calculation (GGA-PBE) of Y4NiSeS2 after structural relaxation.

Formation energy without anion corrections   -12.1 eV/f.u.
DOS at the Fermi energy   0.54 states/eV/atom
Space-group type   P2/m (10)

Cell lengths 3.906, 6.943, 6.964 Å; angles 71.24, 90.00, 90.00 degrees
Sites, in units of the cell vectors:
1 Y 0.000 0.756 0.737
2 Y 0.000 0.244 0.263
3 Y 0.500 0.744 0.264
4 Y 0.500 0.256 0.736
5 Ni 0.000 0.500 0.500
6 Se 0.500 0.500 0.000
7 S 0.000 0.000 0.000
8 S 0.500 0.000 0.500

***

(16)
The following is a DFT calculation (GGA-PBE) of Y8NiSe3S4 after structural relaxation.

Formation energy without anion corrections   -27.5 eV/f.u.
DOS at the Fermi energy   0.38 states/eV/atom
Space-group type   R-3m (166)

Cell lengths 8.012, 7.988, 8.012 Å; angles 120.10, 120.00, 90.00 degrees
Sites, in units of the cell vectors:
1 Y 0.241 0.751 0.009
2 Y 0.242 0.751 0.483
3 Y 0.244 0.231 0.487
4 Y 0.768 0.751 0.009
5 Y 0.232 0.249 0.991
6 Y 0.756 0.769 0.513
7 Y 0.758 0.249 0.517
8 Y 0.759 0.249 0.991
9 Ni 0.000 0.500 0.000
10 Se 0.500 0.500 0.000
11 Se 0.500 0.500 0.500
12 Se 0.000 0.500 0.500
13 S 0.500 0.000 0.000
14 S 0.500 0.000 0.500
15 S 0.000 0.000 0.000
16 S 0.000 0.000 0.500

***

(17)
The following is a DFT calculation (GGA-PBE) of Zr2NiSeS after structural relaxation.

Formation energy without anion corrections   3.2 eV/f.u.
DOS at the Fermi energy   1.46 states/eV/atom
Space-group type   P4/mmm (123)

Cell lengths 5.019, 4.687, 5.019 Å; angles 90.00, 90.00, 90.00 degrees
Sites, in units of the cell vectors:
1 Ni 0.500 0.500 0.500
2 S 0.000 0.500 0.000
3 Se 0.000 0.000 0.000
4 Zr 0.000 0.000 0.500
5 Zr 0.500 0.000 0.000

***

(18)
The following is a DFT calculation (GGA-PBE) of SiNiS2 after structural relaxation.

Formation energy without anion corrections   -0.6 eV/f.u.
DOS at the Fermi energy   0.64 states/eV/atom
Space-group type   R-3m (166)

Cell lengths 7.073, 7.073, 7.073 Å; angles 27.39, 27.39, 27.39 degrees
Each line ends with the local moment (μB).
Sites, in units of the cell vectors:
1 Ni 0.000 0.000 0.000  0.23
2 S 0.898 0.898 0.898  0.00
3 S 0.102 0.102 0.102  0.00
4 Si 0.500 0.500 0.500  -0.01

***

(19)
The following is a DFT calculation (GGA-PBE) of SiNi3S after structural relaxation.

Formation energy without anion corrections   1.0 eV/f.u.
DOS at the Fermi energy   0.02 states/eV/atom
Space-group type   Pm-3m (221)

Cell lengths 4.154, 4.154, 4.154 Å; angles 90.00, 90.00, 90.00 degrees
Sites, in units of the cell vectors:
1 Ni 0.000 0.500 0.000
2 Ni 0.000 0.000 0.500
3 Ni 0.500 0.000 0.000
4 S 0.000 0.000 0.000
5 Si 0.500 0.500 0.500

***

(20)
The following is a DFT calculation (GGA-PBE) of SiNiS2 after structural relaxation.

Formation energy without anion corrections   -1.1 eV/f.u.
DOS at the Fermi energy   0.00 states/eV/atom
Space-group type   I-42d (122)

Cell lengths 5.111, 5.111, 6.228 Å; angles 65.77, 65.77, 90.00 degrees
Sites, in units of the cell vectors:
1 Ni 0.000 0.000 0.000
2 Ni 0.750 0.250 0.500
3 S 0.629 0.125 0.250
4 S 0.121 0.625 0.250
5 S 0.375 0.371 0.750
6 S 0.875 0.879 0.750
7 Si 0.500 0.500 0.000
8 Si 0.250 0.750 0.500

***

Q: Which DFT total energy values were calculated for the entries above? A: -4.61, -6.14, -5.95, -4.26, -5.25, -7.15, -6.08, -3.44, -7.28, -4.54, -5.72, -4.79, -6.11, -6.95, -6.93, -6.99, -5.46, -5.03, -5.18, -5.14, in eV per atom.
Q: Which magnetic moment values were calculated for the entries above? A: 0.00, 0.00, 0.00, 0.26, 0.00, 0.00, 0.00, 0.00, 0.00, 0.00, 0.00, 0.03, 0.37, 0.00, 0.00, 0.00, 0.00, 0.05, 0.00, 0.00, in μB per atom.